## YCuSnTeSe2 (PBE)

Data for a relaxed YCuSnTeSe2 crystal.

As for the crystal system: orthorhombic. The calculation puts the total energy at -4.905 eV per atom. The calculation puts the magnetization at 0.0 μB/f.u.

It has space group Cmcm (No. 63), with a = 4.093 Å, b = 13.791 Å, c = 11.130 Å, α = 90.00°, β = 90.00° and γ = 90.00°. The asymmetric unit holds Y at (0.000, 0.000, 0.000), Cu at (0.000, 0.468, 0.250), Sn at (0.000, 0.212, 0.750), Te at (0.000, 0.094, 0.250) and Se at (0.000, 0.363, 0.068).

## Sr2LiPt (PBE)

Data for a relaxed Sr2LiPt crystal.

As for the crystal system: orthorhombic. The calculation puts the total energy at -3.343 eV per atom. The value obtained for the relative energy among the computed polymorphs is 0.000 eV/atom. The calculation puts the magnetization at 0.0 μB/f.u.

It has space group Pnma (No. 62), with a = 7.958 Å, b = 8.045 Å, c = 8.011 Å, α = 90.00°, β = 90.00° and γ = 90.00°. The asymmetric unit holds Sr at (0.170, 0.001, 0.161), Li at (0.024, 0.750, 0.446) and Pt at (0.134, 0.250, 0.865).

## MoI (PBE)

Data for a relaxed MoI crystal.

As for the crystal system: hexagonal. The calculation puts the total energy at -5.220 eV per atom. The value obtained for the relative energy among the computed polymorphs is 0.000 eV/atom. The calculation puts the magnetization at 0.0 μB/f.u.

It has space group P6_3/mmc (No. 194), with a = 4.5552 Å, b = 4.5552 Å, c = 5.1202 Å, α = 90.00°, β = 90.00° and γ = 120.00°. The asymmetric unit holds Mo at (0.0000, 0.0000, 0.0000) and I at (0.3333, 0.6667, 0.2500).